No. 1
## Pr6Hg2Ru (PBE)

Data for a relaxed structure of Pr6Hg2Ru. Values from VASP.

Summary:
DFT formation energy, meV/atom: -228
Fermi-level density of states, states/eV/f.u.: 9.286
Relative energy among the computed polymorphs, eV per atom: 0.059

Quantum ESPRESSO input file:
```
&SYSTEM
  ibrav = 0, nat = 18, ntyp = 3
/
ATOMIC_SPECIES
Pr 140.91 Pr.upf
Hg 200.59 Hg.upf
Ru 101.07 Ru.upf
CELL_PARAMETERS angstrom
7.260 0.000 0.000
0.000 7.571 0.000
-7.119 0.000 10.661
ATOMIC_POSITIONS crystal
Pr 0.138 0.197 0.450
Pr 0.138 0.303 0.950
Pr 0.254 0.690 0.448
Pr 0.254 0.810 0.948
Pr 0.359 0.006 0.249
Pr 0.359 0.494 0.749
Pr 0.641 0.506 0.251
Pr 0.641 0.994 0.751
Pr 0.746 0.190 0.052
Pr 0.746 0.310 0.552
Pr 0.862 0.697 0.050
Pr 0.862 0.803 0.550
Hg 0.208 0.089 0.745
Hg 0.208 0.411 0.245
Hg 0.792 0.589 0.755
Hg 0.792 0.911 0.255
Ru 0.500 0.000 0.500
Ru 0.500 0.500 0.000
```

No. 2
## InCo2CuC (PBE)

Data for a relaxed structure of InCo2CuC. Values from VASP.

Summary:
DFT formation energy, meV/atom: 139
Fermi-level density of states, states/eV/f.u.: 3.117

Quantum ESPRESSO input file:
```
&SYSTEM
  ibrav = 0, nat = 5, ntyp = 4
/
ATOMIC_SPECIES
In 114.82 In.upf
Co 58.93 Co.upf
Cu 63.55 Cu.upf
C 12.01 C.upf
CELL_PARAMETERS angstrom
3.821 0.000 0.000
0.000 3.821 0.000
0.000 0.000 4.018
ATOMIC_POSITIONS crystal
In 0.000 0.000 0.000
Co 0.000 0.500 0.500
Co 0.500 0.000 0.500
Cu 0.500 0.500 0.000
C 0.500 0.500 0.500
```

No. 3
## Sm3ScTl4S8 (PBE)

Data for a relaxed structure of Sm3ScTl4S8. Values from VASP.

Summary:
E_form (uncorrected), eV/atom: -1.430

Quantum ESPRESSO input file:
```
&SYSTEM
  ibrav = 0, nat = 16, ntyp = 4
/
ATOMIC_SPECIES
Sm 150.36 Sm.upf
Sc 44.96 Sc.upf
Tl 204.38 Tl.upf
S 32.06 S.upf
CELL_PARAMETERS angstrom
4.050 2.338 7.502
-4.050 2.338 7.502
0.000 -4.677 7.502
ATOMIC_POSITIONS crystal
Sm 0.000 0.500 0.500
Sm 0.500 0.000 0.500
Sm 0.500 0.500 0.000
Sc 0.000 0.000 0.000
Tl 0.000 0.000 0.500
Tl 0.000 0.500 0.000
Tl 0.500 0.000 0.000
Tl 0.500 0.500 0.500
S 0.224 0.224 0.748
S 0.224 0.748 0.224
S 0.252 0.776 0.776
S 0.265 0.265 0.265
S 0.735 0.735 0.735
S 0.748 0.224 0.224
S 0.776 0.252 0.776
S 0.776 0.776 0.252
```

No. 4
## TiNi2Hg (PBE)

Data for a relaxed structure of TiNi2Hg. Values from VASP.

Summary:
DFT formation energy, meV/atom: -187
Fermi-level density of states, states/eV/f.u.: 4.418
Relative energy among the computed polymorphs, eV per atom: 0.000

Quantum ESPRESSO input file:
```
&SYSTEM
  ibrav = 0, nat = 4, ntyp = 3
/
ATOMIC_SPECIES
Ti 47.87 Ti.upf
Ni 58.69 Ni.upf
Hg 200.59 Hg.upf
CELL_PARAMETERS angstrom
3.088 0.000 0.000
0.000 3.088 0.000
0.000 0.000 6.172
ATOMIC_POSITIONS crystal
Ti 0.000 0.000 0.000
Ni 0.500 0.500 0.212
Ni 0.500 0.500 0.788
Hg 0.000 0.000 0.500
```

No. 5
## La2BeZn3Ge4 (PBE)

Data for a relaxed structure of La2BeZn3Ge4. Values from VASP.

Summary:
DFT formation energy, meV/atom: -405
Fermi-level density of states, states/eV/f.u.: 2.374

Quantum ESPRESSO input file:
```
&SYSTEM
  ibrav = 0, nat = 10, ntyp = 4
/
ATOMIC_SPECIES
La 138.91 La.upf
Be 9.01 Be.upf
Zn 65.41 Zn.upf
Ge 72.64 Ge.upf
CELL_PARAMETERS angstrom
4.450 0.000 0.000
0.000 4.450 0.000
0.000 0.000 9.867
ATOMIC_POSITIONS crystal
La 0.000 0.500 0.247
La 0.500 0.000 0.753
Be 0.500 0.500 0.000
Zn 0.000 0.000 0.000
Zn 0.000 0.500 0.629
Zn 0.500 0.000 0.371
Ge 0.000 0.000 0.500
Ge 0.000 0.500 0.878
Ge 0.500 0.000 0.122
Ge 0.500 0.500 0.500
```

No. 6
## Cu2SiAs (PBE)

Data for a relaxed structure of Cu2SiAs. Values from VASP.

Summary:
E_form (uncorrected), eV/atom: 0.198
Fermi-level density of states, states/eV/f.u.: 1.486

Quantum ESPRESSO input file:
```
&SYSTEM
  ibrav = 0, nat = 4, ntyp = 3
/
ATOMIC_SPECIES
Cu 63.55 Cu.upf
Si 28.09 Si.upf
As 74.92 As.upf
CELL_PARAMETERS angstrom
2.748 0.000 0.000
0.000 2.748 0.000
0.000 0.000 7.704
ATOMIC_POSITIONS crystal
Cu 0.000 0.000 0.000
Cu 0.500 0.500 0.224
Si 0.000 0.000 0.432
As 0.500 0.500 0.761
```

No. 7
## InSb2Te6 (PBE)

Data for a relaxed structure of InSb2Te6. Values from VASP.

Summary:
E_form (uncorrected), eV/atom: 0.142
Fermi-level density of states, states/eV/f.u.: 11.878

Quantum ESPRESSO input file:
```
&SYSTEM
  ibrav = 0, nat = 18, ntyp = 3
/
ATOMIC_SPECIES
In 114.82 In.upf
Sb 121.76 Sb.upf
Te 127.60 Te.upf
CELL_PARAMETERS angstrom
6.982 0.000 0.000
0.000 6.982 0.000
0.000 0.000 13.657
ATOMIC_POSITIONS crystal
In 0.000 0.000 0.000
In 0.500 0.500 0.500
Sb 0.000 0.000 0.336
Sb 0.000 0.000 0.664
Sb 0.500 0.500 0.164
Sb 0.500 0.500 0.836
Te 0.195 0.195 0.166
Te 0.195 0.195 0.834
Te 0.199 0.199 0.500
Te 0.301 0.699 0.000
Te 0.305 0.695 0.334
Te 0.305 0.695 0.666
Te 0.695 0.305 0.334
Te 0.695 0.305 0.666
Te 0.699 0.301 0.000
Te 0.801 0.801 0.500
Te 0.805 0.805 0.166
Te 0.805 0.805 0.834
```

No. 8
## Tb2PrAl (PBE)

Data for a relaxed structure of Tb2PrAl. Values from VASP.

Summary:
DFT formation energy, meV/atom: -181
Fermi-level density of states, states/eV/f.u.: 4.023
Relative energy among the computed polymorphs, eV per atom: 0.008

Quantum ESPRESSO input file:
```
&SYSTEM
  ibrav = 0, nat = 8, ntyp = 3
/
ATOMIC_SPECIES
Tb 158.93 Tb.upf
Pr 140.91 Pr.upf
Al 26.98 Al.upf
CELL_PARAMETERS angstrom
5.337 0.000 0.000
0.000 3.496 6.049
0.000 -3.496 6.049
ATOMIC_POSITIONS crystal
Tb 0.000 0.000 0.000
Tb 0.000 0.002 0.530
Tb 0.000 0.530 0.002
Tb 0.500 0.352 0.352
Pr 0.500 0.353 0.821
Pr 0.500 0.821 0.353
Al 0.000 0.504 0.504
Al 0.500 0.843 0.843
```

No. 9
## CePm15Sm4 (PBE)

Data for a relaxed structure of CePm15Sm4. Values from VASP.

Summary:
DFT formation energy, meV/atom: 28
Fermi-level density of states, states/eV/f.u.: 32.916

Quantum ESPRESSO input file:
```
&SYSTEM
  ibrav = 0, nat = 20, ntyp = 3
/
ATOMIC_SPECIES
Ce 140.12 Ce.upf
Pm 145.00 Pm.upf
Sm 150.36 Sm.upf
CELL_PARAMETERS angstrom
5.155 0.000 0.000
0.000 5.155 0.000
0.000 0.000 25.749
ATOMIC_POSITIONS crystal
Ce 0.000 0.000 0.000
Pm 0.000 0.500 0.098
Pm 0.000 0.500 0.300
Pm 0.000 0.500 0.500
Pm 0.000 0.500 0.700
Pm 0.000 0.500 0.902
Pm 0.500 0.000 0.098
Pm 0.500 0.000 0.300
Pm 0.500 0.000 0.500
Pm 0.500 0.000 0.700
Pm 0.500 0.000 0.902
Pm 0.500 0.500 0.000
Pm 0.500 0.500 0.200
Pm 0.500 0.500 0.400
Pm 0.500 0.500 0.600
Pm 0.500 0.500 0.800
Sm 0.000 0.000 0.199
Sm 0.000 0.000 0.400
Sm 0.000 0.000 0.600
Sm 0.000 0.000 0.801
```

No. 10
## TmBeOs (PBE)

Data for a relaxed structure of TmBeOs. Values from VASP.

Summary:
DFT formation energy, meV/atom: -201
Fermi-level density of states, states/eV/f.u.: 1.918
Relative energy among the computed polymorphs, eV per atom: 0.097

Quantum ESPRESSO input file:
```
&SYSTEM
  ibrav = 0, nat = 3, ntyp = 3
/
ATOMIC_SPECIES
Tm 168.93 Tm.upf
Be 9.01 Be.upf
Os 190.23 Os.upf
CELL_PARAMETERS angstrom
3.990 0.000 0.000
-1.995 3.455 0.000
0.000 0.000 3.663
ATOMIC_POSITIONS crystal
Tm 0.000 0.000 0.000
Be 0.333 0.667 0.500
Os 0.667 0.333 0.500
```

No. 11
## Pa3ReTe2 (PBE)

Data for a relaxed structure of Pa3ReTe2. Values from VASP.

Summary:
E_form (uncorrected), eV/atom: -0.474
Fermi-level density of states, states/eV/f.u.: 11.026

Quantum ESPRESSO input file:
```
&SYSTEM
  ibrav = 0, nat = 12, ntyp = 3
/
ATOMIC_SPECIES
Pa 231.04 Pa.upf
Re 186.21 Re.upf
Te 127.60 Te.upf
CELL_PARAMETERS angstrom
3.643 -6.300 0.000
3.643 6.300 0.000
-2.449 0.000 7.200
ATOMIC_POSITIONS crystal
Pa 0.063 0.428 0.784
Pa 0.205 0.205 0.208
Pa 0.428 0.063 0.784
Pa 0.572 0.937 0.216
Pa 0.795 0.795 0.792
Pa 0.937 0.572 0.216
Re 0.168 0.832 0.000
Re 0.832 0.168 0.000
Te 0.000 0.000 0.500
Te 0.347 0.653 0.500
Te 0.500 0.500 0.000
Te 0.653 0.347 0.500
```

No. 12
## BaMg2ZnCu (PBE)

Data for a relaxed structure of BaMg2ZnCu. Values from VASP.

Summary:
DFT formation energy, meV/atom: -37
Fermi-level density of states, states/eV/f.u.: 3.655

Quantum ESPRESSO input file:
```
&SYSTEM
  ibrav = 0, nat = 5, ntyp = 4
/
ATOMIC_SPECIES
Ba 137.33 Ba.upf
Mg 24.30 Mg.upf
Zn 65.41 Zn.upf
Cu 63.55 Cu.upf
CELL_PARAMETERS angstrom
5.076 0.000 0.000
0.000 5.076 0.000
0.000 0.000 4.936
ATOMIC_POSITIONS crystal
Ba 0.000 0.000 0.000
Mg 0.000 0.500 0.500
Mg 0.500 0.000 0.500
Zn 0.500 0.500 0.000
Cu 0.500 0.500 0.500
```

No. 13
## PrHoSc2 (PBE)

Data for a relaxed structure of PrHoSc2. Values from VASP.

Summary:
DFT formation energy, meV/atom: 59
Fermi-level density of states, states/eV/f.u.: 6.914
Relative energy among the computed polymorphs, eV per atom: 0.001

Quantum ESPRESSO input file:
```
&SYSTEM
  ibrav = 0, nat = 4, ntyp = 3
/
ATOMIC_SPECIES
Pr 140.91 Pr.upf
Ho 164.93 Ho.upf
Sc 44.96 Sc.upf
CELL_PARAMETERS angstrom
4.972 0.000 0.000
0.000 4.972 0.000
0.000 0.000 4.648
ATOMIC_POSITIONS crystal
Pr 0.000 0.000 0.000
Ho 0.500 0.500 0.000
Sc 0.000 0.500 0.500
Sc 0.500 0.000 0.500
```

No. 14
## MnBAu (PBE)

Data for a relaxed structure of MnBAu. Values from VASP.

Summary:
DFT formation energy, meV/atom: 303
Fermi-level density of states, states/eV/f.u.: 2.197

Quantum ESPRESSO input file:
```
&SYSTEM
  ibrav = 0, nat = 3, ntyp = 3
/
ATOMIC_SPECIES
Mn 54.94 Mn.upf
B 10.81 B.upf
Au 196.97 Au.upf
CELL_PARAMETERS angstrom
1.774 1.024 3.561
-1.774 1.024 3.561
0.000 -2.049 3.561
ATOMIC_POSITIONS crystal
Mn 0.000 0.000 0.000
B 0.273 0.273 0.273
Au 0.497 0.497 0.497
```

No. 15
## K3BaGe (PBE)

Data for a relaxed structure of K3BaGe. Values from VASP.

Summary:
DFT formation energy, meV/atom: 265
Fermi-level density of states, states/eV/f.u.: 3.602
Relative energy among the computed polymorphs, eV per atom: 0.000

Quantum ESPRESSO input file:
```
&SYSTEM
  ibrav = 0, nat = 5, ntyp = 3
/
ATOMIC_SPECIES
K 39.10 K.upf
Ba 137.33 Ba.upf
Ge 72.64 Ge.upf
CELL_PARAMETERS angstrom
6.668 0.000 0.000
0.000 6.668 0.000
0.000 0.000 6.668
ATOMIC_POSITIONS crystal
K 0.000 0.000 0.500
K 0.000 0.500 0.000
K 0.500 0.000 0.000
Ba 0.500 0.500 0.500
Ge 0.000 0.000 0.000
```

No. 16
## PmEr5Tm7 (PBE)

Data for a relaxed structure of PmEr5Tm7. Values from VASP.

Summary:
DFT formation energy, meV/atom: 260
Fermi-level density of states, states/eV/f.u.: 25.791

Quantum ESPRESSO input file:
```
&SYSTEM
  ibrav = 0, nat = 13, ntyp = 3
/
ATOMIC_SPECIES
Pm 145.00 Pm.upf
Er 167.26 Er.upf
Tm 168.93 Tm.upf
CELL_PARAMETERS angstrom
-3.317 5.488 5.703
3.317 -5.488 5.703
3.317 5.488 -5.703
ATOMIC_POSITIONS crystal
Pm 0.000 0.000 0.000
Er 0.201 0.701 0.500
Er 0.428 0.433 0.462
Er 0.428 0.967 0.995
Er 0.972 0.433 0.005
Er 0.972 0.967 0.538
Tm 0.120 0.450 0.671
Tm 0.279 0.949 0.330
Tm 0.389 0.389 0.000
Tm 0.619 0.949 0.670
Tm 0.695 0.695 0.000
Tm 0.699 0.199 0.500
Tm 0.779 0.450 0.329
```

No. 17
## La2NiC4 (PBE)

Data for a relaxed structure of La2NiC4. Values from VASP.

Summary:
DFT formation energy, meV/atom: -162
Fermi-level density of states, states/eV/f.u.: 1.275

Quantum ESPRESSO input file:
```
&SYSTEM
  ibrav = 0, nat = 14, ntyp = 3
/
ATOMIC_SPECIES
La 138.91 La.upf
Ni 58.69 Ni.upf
C 12.01 C.upf
CELL_PARAMETERS angstrom
-3.740 5.347 2.673
3.740 -5.347 2.673
3.740 5.347 -2.673
ATOMIC_POSITIONS crystal
La 0.143 0.179 0.322
La 0.357 0.679 0.036
La 0.643 0.321 0.964
La 0.857 0.821 0.678
Ni 0.250 0.750 0.500
Ni 0.750 0.250 0.500
C 0.082 0.667 0.749
C 0.119 0.838 0.957
C 0.381 0.338 0.718
C 0.418 0.167 0.585
C 0.582 0.833 0.415
C 0.619 0.662 0.282
C 0.881 0.162 0.043
C 0.918 0.333 0.251
```